No. 1
First-principles (PBE) data for a relaxed structure of Co2TcOs, as listed in Alexandria.

## Properties
E above lowest polymorph = 0.090 eV/atom
DOS(E_F) = 5.1 states/eV/cell
Energy relative to the elements = 3.10 kcal/mol of atoms

a b c (Å): 2.6583 2.6583 7.1559
angles (deg): 90.00 90.00 90.00
Sites, in units of the cell vectors:
1 Co 0.0000 0.0000 0.0000
2 Co 0.5000 0.5000 0.2273
3 Tc 0.5000 0.5000 0.7515
4 Os 0.0000 0.0000 0.4731

=====

No. 2
First-principles (PBE) data for a relaxed structure of Co2TcOs, as listed in Alexandria.

## Properties
E above lowest polymorph = 0.034 eV/atom
DOS(E_F) = 4.9 states/eV/cell
Energy relative to the elements = 1.82 kcal/mol of atoms

a b c (Å): 4.5198 4.5198 4.5198
angles (deg): 131.84 131.84 70.49
Sites, in units of the cell vectors:
1 Co 0.0000 0.0000 0.0000
2 Co 0.7500 0.2500 0.5000
3 Tc 0.2500 0.7500 0.5000
4 Os 0.5000 0.5000 0.0000

=====

No. 3
First-principles (PBE) data for a relaxed structure of CoTcOs, as listed in Alexandria.

## Properties
E above lowest polymorph = 0.368 eV/atom
DOS(E_F) = 3.9 states/eV/cell
Energy relative to the elements = 9.90 kcal/mol of atoms

a b c (Å): 6.9892 6.7682 2.6352
angles (deg): 83.72 74.27 22.01
Sites, in units of the cell vectors:
1 Co 0.0000 0.0000 0.0000
2 Tc 0.6632 0.6632 0.3368
3 Os 0.3358 0.3358 0.6642

=====

No. 4
First-principles (PBE) data for a relaxed structure of Co2TcOs, as listed in Alexandria.

## Properties
E above lowest polymorph = 0.171 eV/atom
DOS(E_F) = 4.4 states/eV/cell
Energy relative to the elements = 4.96 kcal/mol of atoms

a b c (Å): 2.9335 2.9335 5.9270
angles (deg): 90.00 90.00 90.00
Sites, in units of the cell vectors:
1 Co 0.0000 0.0000 0.0000
2 Co 0.5000 0.5000 0.1767
3 Tc 0.5000 0.5000 0.7277
4 Os 0.0000 0.0000 0.4475

=====

No. 5
First-principles (PBE) data for a relaxed structure of Co2TcOs, as listed in Alexandria.

## Properties
E above lowest polymorph = 0.739 eV/atom
DOS(E_F) = 15.4 states/eV/cell
Energy relative to the elements = 18.06 kcal/mol of atoms

a b c (Å): 5.2623 5.2623 5.2623
angles (deg): 103.81 103.81 121.51
Sites, in units of the cell vectors:
1 Co 0.1234 0.6250 0.9984
2 Co 0.3750 0.3734 0.4984
3 Co 0.6266 0.1250 0.0016
4 Co 0.8750 0.8766 0.5016
5 Tc 0.2500 0.7500 0.5000
6 Tc 0.5000 0.5000 0.0000
7 Os 0.0000 0.0000 0.0000
8 Os 0.7500 0.2500 0.5000

=====

No. 6
First-principles (PBE) data for a relaxed structure of Co2TcOs, as listed in Alexandria.

## Properties
E above lowest polymorph = 0.083 eV/atom
DOS(E_F) = 6.0 states/eV/cell
Energy relative to the elements = 2.94 kcal/mol of atoms

a b c (Å): 2.6023 3.6908 5.1973
angles (deg): 90.00 90.00 90.00
Sites, in units of the cell vectors:
1 Co 0.0000 0.0000 0.2462
2 Co 0.0000 0.0000 0.7538
3 Tc 0.5000 0.5000 0.5000
4 Os 0.5000 0.5000 0.0000

=====

No. 7
First-principles (PBE) data for a relaxed structure of CoTcOs, as listed in Alexandria.

## Properties
E above lowest polymorph = 0.016 eV/atom
DOS(E_F) = 3.7 states/eV/cell
Energy relative to the elements = 1.78 kcal/mol of atoms

a b c (Å): 4.5801 4.5801 4.5801
angles (deg): 146.03 131.55 60.49
Sites, in units of the cell vectors:
1 Co 0.0000 0.0000 0.0000
2 Tc 0.3338 0.3338 0.0000
3 Os 0.6625 0.6625 0.0000

=====

No. 8
First-principles (PBE) data for a relaxed structure of CoTcOs, as listed in Alexandria.

## Properties
E above lowest polymorph = 0.560 eV/atom
DOS(E_F) = 2.8 states/eV/cell
Energy relative to the elements = 14.32 kcal/mol of atoms

a b c (Å): 4.0683 4.0683 4.0683
angles (deg): 60.00 60.00 60.00
Sites, in units of the cell vectors:
1 Co 0.0000 0.0000 0.0000
2 Tc 0.5000 0.5000 0.5000
3 Os 0.2500 0.2500 0.2500

=====

No. 9
First-principles (PBE) data for a relaxed structure of CoTcOs, as listed in Alexandria.

## Properties
E above lowest polymorph = 0.000 eV/atom
DOS(E_F) = 4.7 states/eV/cell
Energy relative to the elements = 1.41 kcal/mol of atoms

a b c (Å): 6.5155 6.5155 4.7016
angles (deg): 96.92 96.92 23.97
Sites, in units of the cell vectors:
1 Co 0.2484 0.2484 0.2575
2 Co 0.7516 0.7516 0.7425
3 Tc 0.0842 0.0842 0.8617
4 Tc 0.9158 0.9158 0.1383
5 Os 0.4159 0.4159 0.6386
6 Os 0.5841 0.5841 0.3614

=====

No. 10
First-principles (PBE) data for a relaxed structure of Co2TcOs, as listed in Alexandria.

## Properties
E above lowest polymorph = 0.286 eV/atom
DOS(E_F) = 8.1 states/eV/cell
Energy relative to the elements = 7.61 kcal/mol of atoms

a b c (Å): 4.1622 4.1622 4.1622
angles (deg): 60.00 60.00 60.00
Sites, in units of the cell vectors:
1 Co 0.2500 0.2500 0.2500
2 Co 0.7500 0.7500 0.7500
3 Tc 0.0000 0.0000 0.0000
4 Os 0.5000 0.5000 0.5000

=====

No. 11
First-principles (PBE) data for a relaxed structure of Co2TcOs, as listed in Alexandria.

## Properties
E above lowest polymorph = 0.074 eV/atom
DOS(E_F) = 5.7 states/eV/cell
Energy relative to the elements = 2.72 kcal/mol of atoms

a b c (Å): 2.6490 3.6961 5.1796
angles (deg): 90.00 90.00 90.00
Sites, in units of the cell vectors:
1 Co 0.0000 0.0000 0.0000
2 Co 0.5000 0.5000 0.2207
3 Tc 0.5000 0.5000 0.7427
4 Os 0.0000 0.0000 0.4774

=====

No. 12
First-principles (PBE) data for a relaxed structure of VCoTcOs, as listed in Alexandria.

## Properties
DOS(E_F) = 5.1 states/eV/cell
Energy relative to the elements = 0.68 kcal/mol of atoms

a b c (Å): 4.2259 4.2259 4.2259
angles (deg): 60.00 60.00 60.00
Sites, in units of the cell vectors:
1 V 0.0000 0.0000 0.0000
2 Co 0.5000 0.5000 0.5000
3 Tc 0.7500 0.7500 0.7500
4 Os 0.2500 0.2500 0.2500

=====

No. 13
First-principles (PBE) data for a relaxed structure of CoTeOs, as listed in Alexandria.

## Properties
E above lowest polymorph = 0.000 eV/atom
DOS(E_F) = 4.1 states/eV/cell
Energy relative to the elements, uncorrected = 506 meV/atom

a b c (Å): 4.2492 4.2492 4.2492
angles (deg): 60.00 60.00 60.00
Sites, in units of the cell vectors:
1 Co 0.0000 0.0000 0.0000
2 Te 0.5000 0.5000 0.5000
3 Os 0.2500 0.2500 0.2500

=====

No. 14
First-principles (PBE) data for a relaxed structure of CoTe2Os, as listed in Alexandria.

## Properties
E above lowest polymorph = 0.360 eV/atom
DOS(E_F) = 8.0 states/eV/cell
Energy relative to the elements, uncorrected = 477 meV/atom

a b c (Å): 7.0840 7.0840 7.0840
angles (deg): 131.67 131.67 70.76
Sites, in units of the cell vectors:
1 Co 0.0000 0.0000 0.0000
2 Co 0.7500 0.2500 0.5000
3 Te 0.1107 0.6250 0.9857
4 Te 0.3750 0.3607 0.4857
5 Te 0.6393 0.1250 0.0143
6 Te 0.8750 0.8893 0.5143
7 Os 0.2500 0.7500 0.5000
8 Os 0.5000 0.5000 0.0000

=====

No. 15
First-principles (PBE) data for a relaxed structure of CoTeOs, as listed in Alexandria.

## Properties
E above lowest polymorph = 0.188 eV/atom
DOS(E_F) = 2.8 states/eV/cell
Energy relative to the elements, uncorrected = 693 meV/atom

a b c (Å): 4.6827 4.6827 4.6827
angles (deg): 141.09 131.82 63.58
Sites, in units of the cell vectors:
1 Co 0.0000 0.0000 0.0000
2 Te 0.3196 0.3196 0.0000
3 Os 0.6535 0.6535 0.0000

=====

No. 16
First-principles (PBE) data for a relaxed structure of Co3TeOs, as listed in Alexandria.

## Properties
E above lowest polymorph = 0.000 eV/atom
DOS(E_F) = 8.5 states/eV/cell
Energy relative to the elements, uncorrected = 1327 meV/atom

a b c (Å): 4.4867 4.4867 4.4867
angles (deg): 90.00 90.00 90.00
Sites, in units of the cell vectors:
1 Co 0.0000 0.0000 0.5000
2 Co 0.0000 0.5000 0.0000
3 Co 0.5000 0.0000 0.0000
4 Te 0.5000 0.5000 0.5000
5 Os 0.0000 0.0000 0.0000

=====

No. 17
First-principles (PBE) data for a relaxed structure of CoTe2Os, as listed in Alexandria.

## Properties
E above lowest polymorph = 1.093 eV/atom
DOS(E_F) = 5.0 states/eV/cell
Energy relative to the elements, uncorrected = 1209 meV/atom

a b c (Å): 4.7530 4.7530 4.7530
angles (deg): 60.00 60.00 60.00
Sites, in units of the cell vectors:
1 Co 0.0000 0.0000 0.0000
2 Te 0.5000 0.5000 0.5000
3 Te 0.7500 0.7500 0.7500
4 Os 0.2500 0.2500 0.2500

=====

No. 18
First-principles (PBE) data for a relaxed structure of CoTeOs, as listed in Alexandria.

## Properties
E above lowest polymorph = 0.223 eV/atom
DOS(E_F) = 3.2 states/eV/cell
Energy relative to the elements, uncorrected = 729 meV/atom

a b c (Å): 5.5668 5.5668 5.5668
angles (deg): 147.84 147.84 46.12
Sites, in units of the cell vectors:
1 Co 0.0000 0.0000 0.0000
2 Te 0.6844 0.6844 0.0000
3 Os 0.3562 0.3562 0.0000

=====

No. 19
First-principles (PBE) data for a relaxed structure of CoTe2Os, as listed in Alexandria.

## Properties
E above lowest polymorph = 0.551 eV/atom
DOS(E_F) = 6.8 states/eV/cell
Energy relative to the elements, uncorrected = 667 meV/atom

a b c (Å): 8.1926 8.1926 8.1926
angles (deg): 27.06 27.06 27.06
Sites, in units of the cell vectors:
1 Co 0.0000 0.0000 0.0000
2 Te 0.1041 0.1041 0.1041
3 Te 0.8959 0.8959 0.8959
4 Os 0.5000 0.5000 0.5000

=====

No. 20
First-principles (PBE) data for a relaxed structure of CoTe2Os, as listed in Alexandria.

## Properties
E above lowest polymorph = 0.237 eV/atom
DOS(E_F) = 4.4 states/eV/cell
Energy relative to the elements, uncorrected = 354 meV/atom

a b c (Å): 3.1423 3.7163 7.3530
angles (deg): 90.00 90.00 90.00
Sites, in units of the cell vectors:
1 Co 0.0000 0.0000 0.0000
2 Te 0.0000 0.0000 0.3606
3 Te 0.5000 0.5000 0.8408
4 Os 0.5000 0.5000 0.1939

=====

No. 21
First-principles (PBE) data for a relaxed structure of CoTeOs4, as listed in Alexandria.

## Properties
DOS(E_F) = 9.1 states/eV/cell
Energy relative to the elements, uncorrected = 1074 meV/atom

a b c (Å): 5.2223 5.2223 5.2223
angles (deg): 60.00 60.00 60.00
Sites, in units of the cell vectors:
1 Co 0.0000 0.0000 0.0000
2 Te 0.2500 0.2500 0.2500
3 Os 0.1231 0.6256 0.6256
4 Os 0.6256 0.1231 0.6256
5 Os 0.6256 0.6256 0.1231
6 Os 0.6256 0.6256 0.6256

=====

No. 22
First-principles (PBE) data for a relaxed structure of Co4TeOs, as listed in Alexandria.

## Properties
DOS(E_F) = 8.9 states/eV/cell
Energy relative to the elements, uncorrected = 489 meV/atom

a b c (Å): 4.8384 4.8384 4.8384
angles (deg): 60.00 60.00 60.00
Sites, in units of the cell vectors:
1 Co 0.3757 0.3757 0.3757
2 Co 0.3757 0.3757 0.8728
3 Co 0.3757 0.8728 0.3757
4 Co 0.8728 0.3757 0.3757
5 Te 0.0000 0.0000 0.0000
6 Os 0.7500 0.7500 0.7500

=====

No. 23
First-principles (PBE) data for a relaxed structure of CoTe2Os, as listed in Alexandria.

## Properties
E above lowest polymorph = 0.873 eV/atom
DOS(E_F) = 5.8 states/eV/cell
Energy relative to the elements, uncorrected = 989 meV/atom

a b c (Å): 3.1985 3.1985 8.5190
angles (deg): 90.00 90.00 118.86
Sites, in units of the cell vectors:
1 Co 0.0000 0.0000 0.0000
2 Te 0.5000 0.5000 0.2422
3 Te 0.5000 0.5000 0.7578
4 Os 0.0000 0.0000 0.5000

=====

No. 24
First-principles (PBE) data for a relaxed structure of CoTe2Os, as listed in Alexandria.

## Properties
E above lowest polymorph = 0.322 eV/atom
DOS(E_F) = 4.2 states/eV/cell
Energy relative to the elements, uncorrected = 439 meV/atom

a b c (Å): 7.8872 7.8872 7.8872
angles (deg): 156.21 153.01 36.28
Sites, in units of the cell vectors:
1 Co 0.0000 0.0000 0.0000
2 Te 0.5533 0.5533 0.0000
3 Te 0.8020 0.3020 0.5000
4 Os 0.3928 0.8928 0.5000

=====

No. 25
First-principles (PBE) data for a relaxed structure of CoTe2Os, as listed in Alexandria.

## Properties
E above lowest polymorph = 0.523 eV/atom
DOS(E_F) = 4.0 states/eV/cell
Energy relative to the elements, uncorrected = 640 meV/atom

a b c (Å): 4.6777 4.6777 4.6777
angles (deg): 60.00 60.00 60.00
Sites, in units of the cell vectors:
1 Co 0.0000 0.0000 0.0000
2 Te 0.2500 0.2500 0.2500
3 Te 0.7500 0.7500 0.7500
4 Os 0.5000 0.5000 0.5000

=====

No. 26
First-principles (PBE) data for a relaxed structure of CoTeOs3, as listed in Alexandria.

## Properties
E above lowest polymorph = 0.000 eV/atom
DOS(E_F) = 5.9 states/eV/cell
Energy relative to the elements, uncorrected = 1793 meV/atom

a b c (Å): 4.4811 4.4811 4.4811
angles (deg): 90.00 90.00 90.00
Sites, in units of the cell vectors:
1 Co 0.0000 0.0000 0.0000
2 Te 0.5000 0.5000 0.5000
3 Os 0.0000 0.0000 0.5000
4 Os 0.0000 0.5000 0.0000
5 Os 0.5000 0.0000 0.0000

=====

No. 27
First-principles (PBE) data for a relaxed structure of CoTe4Os, as listed in Alexandria.

## Properties
DOS(E_F) = 9.7 states/eV/cell
Energy relative to the elements, uncorrected = 1758 meV/atom

a b c (Å): 6.0970 6.0970 6.0970
angles (deg): 60.00 60.00 60.00
Sites, in units of the cell vectors:
1 Co 0.0000 0.0000 0.0000
2 Te 0.3755 0.3755 0.3755
3 Te 0.3755 0.3755 0.8736
4 Te 0.3755 0.8736 0.3755
5 Te 0.8736 0.3755 0.3755
6 Os 0.7500 0.7500 0.7500

=====

No. 28
First-principles (PBE) data for a relaxed structure of CoTe2Os, as listed in Alexandria.

## Properties
E above lowest polymorph = 0.000 eV/atom
DOS(E_F) = 2.1 states/eV/cell
Energy relative to the elements, uncorrected = 117 meV/atom

a b c (Å): 3.9440 3.9438 6.2781
angles (deg): 90.00 90.08 90.00
Sites, in units of the cell vectors:
1 Co 0.0000 0.0000 0.0000
2 Te 0.0007 0.5000 0.2589
3 Te 0.4994 0.0000 0.7413
4 Os 0.5001 0.5000 0.0001

=====

No. 29
First-principles (PBE) data for a relaxed structure of CoTeOs, as listed in Alexandria.

## Properties
E above lowest polymorph = 0.503 eV/atom
DOS(E_F) = 4.4 states/eV/cell
Energy relative to the elements, uncorrected = 1009 meV/atom

a b c (Å): 7.1375 6.8455 2.9587
angles (deg): 83.38 72.30 24.32
Sites, in units of the cell vectors:
1 Co 0.0000 0.0000 0.0000
2 Te 0.6743 0.6743 0.3257
3 Os 0.3605 0.3605 0.6395

=====

No. 30
First-principles (PBE) data for a relaxed structure of CoTe3Os, as listed in Alexandria.

## Properties
E above lowest polymorph = 0.000 eV/atom
DOS(E_F) = 4.3 states/eV/cell
Energy relative to the elements, uncorrected = 1198 meV/atom

a b c (Å): 4.8251 4.8251 4.8251
angles (deg): 90.00 90.00 90.00
Sites, in units of the cell vectors:
1 Co 0.0000 0.0000 0.0000
2 Te 0.0000 0.0000 0.5000
3 Te 0.0000 0.5000 0.0000
4 Te 0.5000 0.0000 0.0000
5 Os 0.5000 0.5000 0.5000